Entry 1:
# PdWI3, relaxed, DFT PBE
data_PdWI3
_symmetry_space_group_name_H-M 'P m -3 m'
_symmetry_Int_Tables_number 221
_symmetry_space_group_name_Hall '-P 4 2 3'
_cell_length_a 5.449
_cell_length_b 5.449
_cell_length_c 5.449
_cell_angle_alpha 90.00
_cell_angle_beta 90.00
_cell_angle_gamma 90.00
loop_
_atom_site_label
_atom_site_type_symbol
_atom_site_fract_x
_atom_site_fract_y
_atom_site_fract_z
Pd1 Pd 0.000 0.000 0.000
W1 W 0.500 0.500 0.500
I1 I 0.000 0.000 0.500
# Energy above the lowest structure with this stoichiometry (eV per formula unit): 1.31
# Raw formation energy (meV per atom): 1226

Entry 2:
# PdWI2, relaxed, DFT PBE
data_PdWI2
_symmetry_space_group_name_H-M 'F m -3 m'
_symmetry_Int_Tables_number 225
_symmetry_space_group_name_Hall '-F 4 2 3'
_cell_length_a 6.901
_cell_length_b 6.901
_cell_length_c 6.901
_cell_angle_alpha 90.00
_cell_angle_beta 90.00
_cell_angle_gamma 90.00
loop_
_atom_site_label
_atom_site_type_symbol
_atom_site_fract_x
_atom_site_fract_y
_atom_site_fract_z
Pd1 Pd 0.000 0.000 0.000
W1 W 0.000 0.000 0.500
I1 I 0.250 0.250 0.250
# Energy above the lowest structure with this stoichiometry (eV per formula unit): 0.22
# Raw formation energy (meV per atom): 1027

Entry 3:
# Y2PdI, relaxed, DFT PBE
data_Y2PdI
_symmetry_space_group_name_H-M 'R 3 m'
_symmetry_Int_Tables_number 160
_symmetry_space_group_name_Hall 'R 3 -2"'
_cell_length_a 4.1477
_cell_length_b 4.1477
_cell_length_c 23.8338
_cell_angle_alpha 90.00
_cell_angle_beta 90.00
_cell_angle_gamma 120.00
loop_
_atom_site_label
_atom_site_type_symbol
_atom_site_fract_x
_atom_site_fract_y
_atom_site_fract_z
Y1 Y 0.0000 0.0000 0.0000
Y2 Y 0.0000 0.0000 0.2095
Pd1 Pd 0.0000 0.0000 0.6048
I1 I 0.0000 0.0000 0.7736
# Energy above the lowest structure with this stoichiometry (eV per formula unit): 0.00
# Raw formation energy (meV per atom): -836

Entry 4:
# Y2PdI8, relaxed, DFT PBE
data_Y2PdI8
_symmetry_space_group_name_H-M 'C 1 2/m 1'
_symmetry_Int_Tables_number 12
_symmetry_space_group_name_Hall '-C 2y'
_cell_length_a 16.397
_cell_length_b 7.700
_cell_length_c 10.491
_cell_angle_alpha 90.00
_cell_angle_beta 107.79
_cell_angle_gamma 90.00
loop_
_atom_site_label
_atom_site_type_symbol
_atom_site_fract_x
_atom_site_fract_y
_atom_site_fract_z
Y1 Y 0.225 0.000 0.317
Pd1 Pd 0.000 0.000 0.000
I1 I 0.104 0.245 0.135
I2 I 0.112 0.500 0.721
I3 I 0.213 0.000 0.589
# Raw formation energy (meV per atom): -939

Entry 5:
# Y2PdI, relaxed, DFT PBE
data_Y2PdI
_symmetry_space_group_name_H-M 'F m -3 m'
_symmetry_Int_Tables_number 225
_symmetry_space_group_name_Hall '-F 4 2 3'
_cell_length_a 7.399
_cell_length_b 7.399
_cell_length_c 7.399
_cell_angle_alpha 90.00
_cell_angle_beta 90.00
_cell_angle_gamma 90.00
loop_
_atom_site_label
_atom_site_type_symbol
_atom_site_fract_x
_atom_site_fract_y
_atom_site_fract_z
Y1 Y 0.250 0.250 0.250
Pd1 Pd 0.000 0.000 0.000
I1 I 0.000 0.000 0.500
# Energy above the lowest structure with this stoichiometry (eV per formula unit): 1.45
# Raw formation energy (meV per atom): -474

Entry 6:
# Y2PdI, relaxed, DFT PBE
data_Y2PdI
_symmetry_space_group_name_H-M 'I -4 2 d'
_symmetry_Int_Tables_number 122
_symmetry_space_group_name_Hall 'I -4 2bw'
_cell_length_a 7.876
_cell_length_b 7.876
_cell_length_c 7.495
_cell_angle_alpha 90.00
_cell_angle_beta 90.00
_cell_angle_gamma 90.00
loop_
_atom_site_label
_atom_site_type_symbol
_atom_site_fract_x
_atom_site_fract_y
_atom_site_fract_z
Y1 Y 0.214 0.250 0.125
Pd1 Pd 0.000 0.000 0.000
I1 I 0.000 0.000 0.500
# Energy above the lowest structure with this stoichiometry (eV per formula unit): 1.40
# Raw formation energy (meV per atom): -486